# 1
12
Lattice="-2.083 -2.282 2.769 -3.722 -2.564 -4.913 6.246 -2.768 -0.691" Properties=species:S:1:pos:R:3 comment="PaRh3O8, optimized geometry, DFT PBE-GGA" total_energy_ev_per_cell=-87.03 space_group="No. 8" magnetic_moment_mub_per_cell=1.66 pbc="T T T"
O 3.730 -2.886 0.426
O -1.819 -2.576 -0.383
O -1.198 -2.844 -3.245
O 1.564 -4.722 0.393
O 2.284 -5.181 -2.552
O -0.695 -4.741 -1.322
O 1.292 -2.716 -1.267
O -3.436 -4.647 -3.306
Rh 2.973 -3.950 -1.020
Rh 0.047 -3.418 0.326
Rh -2.490 -3.743 -1.850
Pa 0.495 -4.169 -3.063



# 2
20
Lattice="3.851 0.000 0.000 0.000 3.851 0.000 0.000 0.000 19.249" Properties=species:S:1:pos:R:3 comment="NiIr15Ru4, optimized geometry, DFT PBE-GGA" total_energy_ev_per_cell=-176.28 space_group="No. 123" formation_energy_kj_per_mol_atoms=-2 magnetic_moment_mub_per_cell=0.00 pbc="T T T"
Ru 0.000 0.000 7.695
Ru 0.000 0.000 3.783
Ru 0.000 0.000 15.466
Ru 0.000 0.000 11.554
Ir 1.926 1.926 11.560
Ir 1.926 0.000 9.624
Ir 1.926 1.926 0.000
Ir 0.000 1.926 9.624
Ir 1.926 0.000 1.918
Ir 1.926 1.926 15.408
Ir 1.926 0.000 17.331
Ir 0.000 1.926 17.331
Ir 1.926 1.926 7.689
Ir 0.000 1.926 1.918
Ir 0.000 1.926 13.484
Ir 1.926 1.926 3.841
Ir 1.926 0.000 13.484
Ir 1.926 0.000 5.765
Ir 0.000 1.926 5.765
Ni 0.000 0.000 0.000



# 3
12
Lattice="-2.947 -1.647 -0.645 2.310 -5.458 3.379 -6.942 6.468 15.193" Properties=species:S:1:pos:R:3 comment="Pm3Pr2Ho, optimized geometry, DFT PBE-GGA" total_energy_ev_per_cell=-53.84 space_group="No. 58" formation_energy_kj_per_mol_atoms=24 de_polymorph_mev_per_atom=98.5 magnetic_moment_mub_per_cell=0.00 pbc="T T T"
Pm -5.469 0.444 14.688
Pm -3.790 -0.318 8.964
Pm 0.000 0.000 0.000
Pm -0.491 -2.045 7.462
Pm -2.110 -1.080 3.240
Pm -4.141 3.055 11.111
Ho -0.318 -3.552 1.367
Ho -3.471 3.234 7.597
Pr -6.820 3.376 13.372
Pr -0.759 -4.013 4.555
Pr -1.813 0.818 6.190
Pr -2.820 0.193 12.383



# 4
4
Lattice="4.180 0.000 0.000 0.000 4.180 0.000 -2.090 -2.090 4.106" Properties=species:S:1:pos:R:3 comment="TbPd3, optimized geometry, DFT PBE-GGA" total_energy_ev_per_cell=-23.30 space_group="No. 139" formation_energy_kj_per_mol_atoms=-75 magnetic_moment_mub_per_cell=0.00 pbc="T T T"
Pd 0.000 2.090 2.053
Pd 2.090 2.090 0.000
Pd 2.090 0.000 2.053
Tb 0.000 0.000 0.000



# 5
20
Lattice="-0.623 2.938 -2.583 -7.962 -4.768 -3.502 -5.706 4.641 6.655" Properties=species:S:1:pos:R:3 comment="Ac2InCu2Pt5, optimized geometry, DFT PBE-GGA" total_energy_ev_per_cell=-113.10 space_group="No. 127" formation_energy_kj_per_mol_atoms=-69 magnetic_moment_mub_per_cell=0.00 pbc="T T T"
In 0.000 0.000 0.000
In -6.834 -0.063 1.577
Pt -11.932 2.060 2.185
Pt -8.857 2.089 1.476
Pt -4.293 -0.915 -3.042
Pt -2.359 0.751 -1.614
Pt -8.474 0.102 -0.877
Pt -5.310 4.825 3.732
Pt -8.982 -2.014 -3.161
Pt -5.434 0.722 -0.905
Pt -3.164 3.789 2.036
Pt -5.817 2.709 1.448
Ac -10.413 -0.769 1.638
Ac -6.419 -2.406 -1.188
Ac -7.249 2.280 4.342
Ac -3.255 0.642 1.516
Cu -9.956 1.136 3.694
Cu -4.481 2.305 3.703
Cu -3.712 -1.263 -0.541
Cu -9.187 -2.432 -0.550



# 6
10
Lattice="5.532 0.000 0.000 2.766 4.791 0.000 2.766 1.597 4.664" Properties=species:S:1:pos:R:3 comment="LiTb2IrO6, optimized geometry, DFT PBE-GGA" total_energy_ev_per_cell=-72.74 space_group="No. 146" magnetic_moment_mub_per_cell=2.03 pbc="T T T"
Tb 2.766 1.597 4.212
Tb 5.532 3.194 1.811
O 7.718 3.189 1.218
O 3.962 3.408 3.612
O 4.434 1.303 1.218
O 4.443 5.090 1.218
O 6.131 1.728 3.612
O 6.501 4.446 3.612
Ir 2.766 1.597 0.168
Li 8.298 4.791 2.713



# 7
20
Lattice="-5.822 -3.418 -1.628 2.153 -7.434 -2.949 -1.677 -5.256 6.177" Properties=species:S:1:pos:R:3 comment="MnAl2InS6, optimized geometry, DFT PBE-GGA" total_energy_ev_per_cell=-101.92 space_group="No. 15" magnetic_moment_mub_per_cell=7.99 pbc="T T T"
S -3.394 -8.001 4.698
S -5.398 -7.949 -0.410
S -1.953 -8.107 -3.099
S -5.568 -10.419 3.642
S 0.051 -8.159 2.009
S 0.221 -5.689 -2.042
S -3.437 -11.341 -2.950
S -5.068 -6.047 2.809
S -0.279 -10.062 -1.209
S -1.910 -4.767 4.549
S -2.832 -9.884 1.129
S -2.515 -6.224 0.471
Al -1.086 -4.716 -0.509
Al -4.261 -11.392 2.109
Al -4.799 -5.968 0.589
Al -0.548 -10.140 1.010
In -1.947 -6.785 2.945
In -3.400 -9.323 -1.345
Mn 0.145 -7.974 -2.040
Mn -5.492 -8.134 3.640



# 8
5
Lattice="-2.793 -4.916 0.153 4.783 -2.756 -1.231 1.145 -0.478 5.518" Properties=species:S:1:pos:R:3 comment="Y3ZrSb, optimized geometry, DFT PBE-GGA" total_energy_ev_per_cell=-30.41 space_group="No. 221" de_polymorph_mev_per_atom=0.0 magnetic_moment_mub_per_cell=3.65 pbc="T T T"
Sb 0.000 0.000 0.000
Y -1.396 -2.458 0.077
Y 2.391 -1.378 -0.616
Y 0.572 -0.239 2.759
Zr 1.567 -4.075 2.220